No. 1
VASP calculation (PBE) on a geometry-optimized NaLi6Tl2 structure.

a = 4.8157 Å, b = 4.8157 Å, c = 8.8843 Å
α = 90.00°, β = 90.00°, γ = 120.00°
Space group P-3m1 (No. 164)
One atom of each set of equivalent atoms:
Na: 0.0000 0.0000 0.0000
Li: 0.0000 0.0000 0.3374
Li: 0.3333 0.6667 0.5675
Li: 0.3333 0.6667 0.8852
Tl: 0.3333 0.6667 0.2415

Values from the calculation:
formation energy from the elements = -143 kJ/mol of formula units


No. 2
VASP calculation (PBE) on a geometry-optimized Na5Li2Tl4 structure.

a = 8.802 Å, b = 3.197 Å, c = 10.547 Å
α = 90.00°, β = 94.60°, γ = 90.00°
Space group P2/m (No. 10)
One atom of each set of equivalent atoms:
Na: 0.000 0.000 0.000
Na: 0.043 0.000 0.340
Na: 0.351 0.000 0.863
Li: 0.425 0.000 0.371
Tl: 0.275 0.500 0.576
Tl: 0.299 0.500 0.146

Values from the calculation:
formation energy from the elements = -121 kJ/mol of formula units


No. 3
VASP calculation (PBE) on a geometry-optimized NaLiTl structure.

a = 6.928 Å, b = 6.928 Å, c = 6.928 Å
α = 90.00°, β = 90.00°, γ = 90.00°
Space group F-43m (No. 216)
One atom of each set of equivalent atoms:
Na: 0.000 0.000 0.000
Li: 0.250 0.250 0.750
Tl: 0.000 0.000 0.500

Values from the calculation:
formation energy from the elements = 13 kJ/mol of formula units
distance to the lowest polymorph of the same formula = 174 meV per atom


No. 4
VASP calculation (PBE) on a geometry-optimized NaLi2Tl structure.

a = 3.562 Å, b = 3.562 Å, c = 7.488 Å
α = 90.00°, β = 90.00°, γ = 90.00°
Space group P4/mmm (No. 123)
One atom of each set of equivalent atoms:
Na: 0.000 0.000 0.000
Li: 0.500 0.500 0.293
Tl: 0.000 0.000 0.500

Values from the calculation:
formation energy from the elements = -46 kJ/mol of formula units
distance to the lowest polymorph of the same formula = 27 meV per atom


No. 5
VASP calculation (PBE) on a geometry-optimized Na4LiTl4 structure.

a = 10.469 Å, b = 10.469 Å, c = 4.595 Å
α = 90.00°, β = 90.00°, γ = 90.00°
Space group I4/m (No. 87)
One atom of each set of equivalent atoms:
Na: 0.001 0.318 0.000
Li: 0.000 0.000 0.000
Tl: 0.163 0.163 0.500

Values from the calculation:
formation energy from the elements = -80 kJ/mol of formula units
distance to the lowest polymorph of the same formula = 0 meV per atom


No. 6
VASP calculation (PBE) on a geometry-optimized Na3LiTl6 structure.

a = 17.6655 Å, b = 17.6655 Å, c = 3.9529 Å
α = 90.00°, β = 90.00°, γ = 120.00°
Space group R3m (No. 160, hexagonal axes)
One atom of each set of equivalent atoms:
Na: 0.1837 0.3674 0.0000
Li: 0.0000 0.0000 0.3876
Tl: 0.0986 0.1972 0.4190
Tl: 0.1368 0.0684 0.8865

Values from the calculation:
formation energy from the elements = -5 kJ/mol of formula units
distance to the lowest polymorph of the same formula = 42 meV per atom